Record 1
! GaSb2Pt4, optimized geometry, DFT PBE; values from VASP
! V = 21.4 A^3/atom
! Formation energy from raw total energies = 0.170 eV per atom
! Theoretical density = 12.1 g/cm3
! Final energy = -4.892 eV per atom
&SYSTEM
  ibrav = 0, nat = 14, ntyp = 3
/
ATOMIC_SPECIES
Ga 69.72 Ga.upf
Sb 121.76 Sb.upf
Pt 195.08 Pt.upf
ATOMIC_POSITIONS angstrom
Ga 0.0000 0.0000 0.0000
Ga 2.3626 2.3626 6.7196
Sb 0.0000 0.0000 4.9899
Sb 0.0000 0.0000 8.4492
Sb 2.3626 2.3626 1.7297
Sb 2.3626 2.3626 11.7094
Pt 0.0000 0.0000 2.4348
Pt 0.0000 0.0000 11.0043
Pt 0.0000 2.3626 0.0000
Pt 0.0000 2.3626 6.7196
Pt 2.3626 0.0000 0.0000
Pt 2.3626 0.0000 6.7196
Pt 2.3626 2.3626 4.2847
Pt 2.3626 2.3626 9.1544
CELL_PARAMETERS angstrom
4.7253 0.0000 0.0000
0.0000 4.7253 0.0000
0.0000 0.0000 13.4391

Record 2
! PdNF2, optimized geometry, DFT PBE; values from VASP
! V = 13.4 A^3/atom
! ΔE to the lowest computed polymorph = 223.1 meV/atom
! Formation energy from raw total energies = 0.771 eV per atom
! Theoretical density = 4.9 g/cm3
! Final energy = -3.544 eV per atom
&SYSTEM
  ibrav = 0, nat = 12, ntyp = 3
/
ATOMIC_SPECIES
Pd 106.42 Pd.upf
N 14.01 N.upf
F 19.00 F.upf
ATOMIC_POSITIONS angstrom
Pd 0.0000 0.0000 0.0000
Pd 0.0000 1.6965 14.3763
Pd 1.4692 0.8482 7.1881
N 0.0000 0.0000 10.7822
N 0.0000 1.6965 3.5941
N 1.4692 0.8482 17.9703
F 0.0000 0.0000 1.9343
F 0.0000 0.0000 19.6301
F 0.0000 1.6965 12.4420
F 0.0000 1.6965 16.3106
F 1.4692 0.8482 5.2538
F 1.4692 0.8482 9.1224
CELL_PARAMETERS angstrom
2.9384 0.0000 0.0000
-1.4692 2.5447 0.0000
0.0000 0.0000 21.5644

Record 3
! TmTh2In3, optimized geometry, DFT PBE; values from VASP
! V = 29.3 A^3/atom
! ΔE to the lowest computed polymorph = 172.9 meV/atom
! Theoretical density = 9.2 g/cm3
! Final energy = -4.693 eV per atom
! ΔH_f (0 K) = -0.105 eV per atom
&SYSTEM
  ibrav = 0, nat = 12, ntyp = 3
/
ATOMIC_SPECIES
Tm 168.93 Tm.upf
Th 232.04 Th.upf
In 114.82 In.upf
ATOMIC_POSITIONS angstrom
Tm 5.7519 4.0463 4.4772
Tm 5.7519 -4.0463 1.4924
Th 4.2421 2.3142 1.4924
Th 7.2617 2.3142 1.4924
Th 4.2421 -2.3142 4.4772
Th 7.2617 -2.3142 4.4772
In 2.5361 0.0000 0.0000
In 2.5361 0.0000 2.9848
In 5.7519 0.8504 4.4772
In 5.7519 -0.8504 1.4924
In 8.9677 0.0000 0.0000
In 8.9677 0.0000 2.9848
CELL_PARAMETERS angstrom
5.7519 -5.1220 0.0000
5.7519 5.1220 0.0000
0.0000 0.0000 5.9696

Record 4
! LiCa2Ac, optimized geometry, DFT PBE; values from VASP
! V = 39.3 A^3/atom
! ΔE to the lowest computed polymorph = 158.6 meV/atom
! Theoretical density = 3.3 g/cm3
! Final energy = -2.301 eV per atom
! ΔH_f (0 K) = 0.205 eV per atom
&SYSTEM
  ibrav = 0, nat = 12, ntyp = 3
/
ATOMIC_SPECIES
Li 6.94 Li.upf
Ca 40.08 Ca.upf
Ac 227.00 Ac.upf
ATOMIC_POSITIONS angstrom
Li 0.0000 0.0000 0.0000
Li 0.0000 2.1646 25.8048
Li 1.8746 1.0823 12.9024
Ca 0.0000 0.0000 15.6561
Ca 0.0000 0.0000 23.0511
Ca 0.0000 2.1646 2.7537
Ca 0.0000 2.1646 10.1487
Ca 1.8746 1.0823 28.5585
Ca 1.8746 1.0823 35.9535
Ac 0.0000 0.0000 19.3536
Ac 0.0000 2.1646 6.4512
Ac 1.8746 1.0823 32.2560
CELL_PARAMETERS angstrom
3.7493 0.0000 0.0000
-1.8746 3.2470 0.0000
0.0000 0.0000 38.7072

Record 5
! La3Dy2Ho6Pu, optimized geometry, DFT PBE; values from VASP
! V = 32.0 A^3/atom
! Theoretical density = 8.5 g/cm3
! Final energy = -5.437 eV per atom
! ΔH_f (0 K) = 0.046 eV per atom
&SYSTEM
  ibrav = 0, nat = 12, ntyp = 4
/
ATOMIC_SPECIES
La 138.91 La.upf
Dy 162.50 Dy.upf
Ho 164.93 Ho.upf
Pu 244.00 Pu.upf
ATOMIC_POSITIONS angstrom
La 0.0000 0.0000 0.0000
La 3.0946 1.7954 0.0000
La 3.0946 -1.7954 0.0000
Dy 2.0603 3.5763 5.7823
Dy 2.0603 -3.5763 5.7823
Ho 1.0436 1.7639 2.9745
Ho 0.0216 0.0000 8.5937
Ho 1.0436 -1.7639 2.9745
Ho 3.0771 1.7639 8.5901
Ho 4.0991 0.0000 2.9709
Ho 3.0771 -1.7639 8.5901
Pu 2.0603 0.0000 5.7823
CELL_PARAMETERS angstrom
3.0946 -5.3630 0.0000
3.0946 5.3630 0.0000
-2.0686 0.0000 11.5646

Record 6
! K3PdCl4, optimized geometry, DFT PBE; values from VASP
! V = 36.7 A^3/atom
! Formation energy from raw total energies = -1.404 eV per atom
! Theoretical density = 2.1 g/cm3
! Final energy = -3.388 eV per atom
&SYSTEM
  ibrav = 0, nat = 16, ntyp = 3
/
ATOMIC_SPECIES
K 39.10 K.upf
Pd 106.42 Pd.upf
Cl 35.45 Cl.upf
ATOMIC_POSITIONS angstrom
K 1.2717 0.9260 1.3414
K 1.2717 5.1954 1.3414
K 1.2717 9.1820 4.2412
K 3.8150 3.0607 5.1925
K 3.8150 7.0473 8.0924
K 3.8150 11.3167 8.0924
Pd 1.2717 3.0607 7.9237
Pd 3.8150 9.1820 1.5100
Cl 1.2717 0.6737 7.6517
Cl 1.2717 3.0607 3.4844
Cl 1.2717 5.4476 7.6517
Cl 1.2717 9.1820 1.2246
Cl 3.8150 3.0607 8.2091
Cl 3.8150 6.7951 1.7820
Cl 3.8150 9.1820 5.9493
Cl 3.8150 11.5690 1.7820
CELL_PARAMETERS angstrom
5.0867 0.0000 0.0000
0.0000 12.2427 0.0000
0.0000 0.0000 9.4337